No. 1
VASP calculation (GGA-PBE) on a relaxed Y4Ru crystal.

Properties
The value obtained for the formation energy is -0.144 eV per atom. Its offset from the most stable computed form is 0.000 eV per atom.

Geometry as CIF:
```
data_Y4Ru
_space_group_name_H-M_alt 'P 1'
_space_group_IT_number 1
_cell_length_a 7.349
_cell_length_b 7.349
_cell_length_c 7.486
_cell_angle_alpha 104.09
_cell_angle_beta 104.09
_cell_angle_gamma 120.27
loop_
_space_group_symop_operation_xyz
'x,y,z'
loop_
_atom_site_label
_atom_site_type_symbol
_atom_site_fract_x
_atom_site_fract_y
_atom_site_fract_z
_atom_site_occupancy
Y1 Y 0.771 0.027 0.840 1
Y2 Y 0.277 0.521 0.340 1
Ru1 Ru 0.494 0.994 0.500 1
Ru2 Ru 0.244 0.244 0.000 1
Y3 Y 0.250 0.528 0.828 1
Y4 Y 0.188 0.931 0.160 1
Y5 Y 0.181 0.938 0.660 1
Y6 Y 0.672 0.450 0.672 1
Y7 Y 0.700 0.422 0.172 1
Y8 Y 0.778 0.000 0.328 1
```

***

No. 2
VASP calculation (GGA-PBE) on a relaxed Pm8Sm3Mg crystal.

Properties
The value obtained for the formation energy is 0.015 eV per atom.

Geometry as CIF:
```
data_Pm8Sm3Mg
_space_group_name_H-M_alt 'P 1'
_space_group_IT_number 1
_cell_length_a 6.271
_cell_length_b 8.092
_cell_length_c 12.984
_cell_angle_alpha 79.44
_cell_angle_beta 108.77
_cell_angle_gamma 49.68
loop_
_space_group_symop_operation_xyz
'x,y,z'
loop_
_atom_site_label
_atom_site_type_symbol
_atom_site_fract_x
_atom_site_fract_y
_atom_site_fract_z
_atom_site_occupancy
Mg1 Mg 0.125 0.748 0.625 1
Pm1 Pm 0.044 0.912 0.208 1
Sm1 Sm 0.625 0.747 0.125 1
Pm2 Pm 0.708 0.583 0.543 1
Sm2 Sm 0.380 0.244 0.873 1
Pm3 Pm 0.792 0.414 0.955 1
Pm4 Pm 0.458 0.081 0.294 1
Pm5 Pm 0.206 0.583 0.041 1
Pm6 Pm 0.293 0.413 0.462 1
Pm7 Pm 0.956 0.082 0.788 1
Sm3 Sm 0.870 0.251 0.377 1
Pm8 Pm 0.541 0.912 0.706 1
```

***

No. 3
VASP calculation (GGA-PBE) on a relaxed BaReRh crystal.

Properties
The value obtained for the formation energy is 0.225 eV per atom. Its offset from the most stable computed form is 0.102 eV per atom.

Geometry as CIF:
```
data_BaReRh
_space_group_name_H-M_alt 'P 1'
_space_group_IT_number 1
_cell_length_a 6.508
_cell_length_b 4.502
_cell_length_c 5.176
_cell_angle_alpha 90.00
_cell_angle_beta 90.00
_cell_angle_gamma 69.77
loop_
_space_group_symop_operation_xyz
'x,y,z'
loop_
_atom_site_label
_atom_site_type_symbol
_atom_site_fract_x
_atom_site_fract_y
_atom_site_fract_z
_atom_site_occupancy
Rh1 Rh 0.097 0.437 0.097 1
Rh2 Rh 0.274 0.349 0.597 1
Re1 Re 0.185 0.893 0.347 1
Re2 Re 0.185 0.893 0.847 1
Ba1 Ba 0.607 0.182 0.097 1
Ba2 Ba 0.763 0.604 0.597 1
```

***

No. 4
VASP calculation (GGA-PBE) on a relaxed MgCoAg2 crystal.

Properties
The value obtained for the formation energy is 0.161 eV per atom.

Geometry as CIF:
```
data_MgCoAg2
_space_group_name_H-M_alt 'P 1'
_space_group_IT_number 1
_cell_length_a 4.919
_cell_length_b 4.919
_cell_length_c 4.919
_cell_angle_alpha 132.02
_cell_angle_beta 132.02
_cell_angle_gamma 70.19
loop_
_space_group_symop_operation_xyz
'x,y,z'
loop_
_atom_site_label
_atom_site_type_symbol
_atom_site_fract_x
_atom_site_fract_y
_atom_site_fract_z
_atom_site_occupancy
Ag1 Ag 0.250 0.750 0.500 1
Ag2 Ag 0.000 0.000 0.000 1
Co1 Co 0.500 0.500 0.000 1
Mg1 Mg 0.750 0.250 0.500 1
```

***

Question: Number 2 is which compound?
Answer: Pm8Sm3Mg

***

Question: What is the formula in the third record?
Answer: BaReRh